# 1
Here is a geometry-optimized CsSn3Se3 structure from Alexandria. Energies are from PBE-GGA.

abc: 9.2350 9.2350 21.7948
angles: 90.00 90.00 120.00
Closest atoms and distances in Å follow each position.
Space group R-3 (No. 148, hexagonal axes)
One atom of each set of equivalent atoms:
Cs (0.0000, 0.0000, 0.1739) [6 per cell]  6 Se 3.80-4.22, 6 Sn 3.91-4.09
Sn (0.0126, 0.6441, 0.7182) [18 per cell]  3 Se 2.72-2.90
Se (0.0231, 0.2886, 0.4003) [18 per cell]  3 Sn 2.72-2.90

Volume: 1610 Å³/cell
Density of states at the Fermi level: 13.1 states/eV/cell
Formation energy without anion corrections: -426 meV per atom

=====

# 2
Here is a geometry-optimized CsSnSe3 structure from Alexandria. Energies are from PBE-GGA.

abc: 3.7827 10.6637 9.7170
angles: 90.00 101.07 90.00
Closest atoms and distances in Å follow each position.
Space group P2_1/m (No. 11)
One atom of each set of equivalent atoms:
Cs (0.0662, 0.2500, 0.1339) [2 per cell]  2 Cs 3.78, 10 Se 3.84-3.97
Sn (0.3451, 0.2500, 0.6814) [2 per cell]  4 Se 2.56-2.57
Se (0.2454, 0.7500, 0.5017) [2 per cell]  2 Sn 2.57
Se (0.4275, 0.0636, 0.8498) [4 per cell]  1 Sn 2.56

Volume: 385 Å³/cell
Density of states at the Fermi level: 6.3 states/eV/cell
Offset from the most stable computed form: 208.6 meV per atom
Formation energy without anion corrections: -491 meV per atom